VASP calculation (PBE-GGA) on crystalline AlFeAgMo2 at its relaxed geometry.

Cell: 4.3914 4.7602 4.3914 Å, 90.00 90.00 90.00°
Element x y z (fractional)
1 Mo 0.0000 0.0000 0.5000
2 Mo 0.5000 0.0000 0.0000
3 Fe 0.0000 0.0000 0.0000
4 Ag 0.0000 0.5000 0.0000
5 Al 0.5000 0.5000 0.5000

For the density of states at the Fermi level, the calculation gives 5.695 states/eV per cell. As for the space group: P4/mmm. The value obtained for the final energy is -31.21 eV/cell. Its total magnetic moment is 0.000 μB/atom. The value obtained for the formation energy is 1.10 eV per atom.